## Zr8InGa2 (PBE)

Data for a relaxed Zr8InGa2 crystal.

a = 7.943 Å, b = 12.976 Å, c = 5.157 Å
α = 90.00°, β = 111.86°, γ = 90.00°
Space group C2/m (No. 12)
Symmetry-distinct sites (fractional):
Zr 0.000 0.233 0.000
Zr 0.087 0.500 0.798
Zr 0.200 0.119 0.617
In 0.000 0.000 0.000
Ga 0.000 0.308 0.500

Values from the calculation:
Formation energy from the elements, eV/atom: -0.16
Total magnetic moment, μB per cell: 0.00



## TcSbTe2 (PBE)

Data for a relaxed TcSbTe2 crystal.

a = 3.6717 Å, b = 3.6717 Å, c = 28.7579 Å
α = 90.00°, β = 90.00°, γ = 120.00°
Space group R-3m (No. 166, hexagonal axes)
Symmetry-distinct sites (fractional):
Tc 0.0000 0.0000 0.0000
Sb 0.0000 0.0000 0.5000
Te 0.0000 0.0000 0.3918

Values from the calculation:
Formation energy (no corrections), eV per atom: 0.182
Total magnetic moment, μB per cell: 4.71



## LiAcSnPd (PBE)

Data for a relaxed LiAcSnPd crystal.

a = 7.163 Å, b = 7.163 Å, c = 7.163 Å
α = 90.00°, β = 90.00°, γ = 90.00°
Space group F-43m (No. 216)
Symmetry-distinct sites (fractional):
Li 0.000 0.000 0.000
Ac 0.250 0.250 0.250
Sn 0.250 0.250 0.750
Pd 0.000 0.000 0.500

Values from the calculation:
Formation energy from the elements, eV/atom: -0.65
Total magnetic moment, μB per cell: 0.00